The following is a GGA-PBE calculation of a relaxed Rb3RhO2 crystal, from the Alexandria database.

a b c (Å): 6.4964 6.4964 6.8854
angles (deg): 90.00 90.00 95.41
Fractional positions:
Rb  0.7677  0.7677  0.7500
Rb  0.2323  0.2323  0.2500
Rb  0.2885  0.7115  0.5000
Rb  0.2885  0.7115  0.0000
Rb  0.7115  0.2885  0.5000
Rb  0.7115  0.2885  0.0000
Rh  0.8437  0.8437  0.2500
Rh  0.1563  0.1563  0.7500
O  0.6193  0.6193  0.2500
O  0.3807  0.3807  0.7500
O  0.0000  0.0000  0.5000
O  0.0000  0.0000  0.0000

- V: 24.108 A^3/atom
- N(E_F): 7.83 states/eV/cell
- Formation energy without anion corrections: -0.5906 eV per atom

***

The following is a GGA-PBE calculation of a relaxed TbHoOsRu crystal, from the Alexandria database.

a b c (Å): 4.8124 4.8124 4.8124
angles (deg): 60.00 60.00 60.00
Fractional positions:
Tb  0.0000  0.0000  0.0000
Os  0.7500  0.7500  0.7500
Ho  0.5000  0.5000  0.5000
Ru  0.2500  0.2500  0.2500

- Formation enthalpy at 0 K: -0.693 eV per formula unit
- V: 19.701 A^3/atom
- N(E_F): 4.54 states/eV/cell